A plane-wave DFT calculation with PBE was carried out for crystalline Ba2YMgTc at its relaxed geometry.

Unit cell a=6.1749 b=5.5327 c=6.1749 alpha=90.00 beta=90.00 gamma=90.00
Atoms (fractional coordinates):
Mg 0.0000 0.5000 0.0000
Y 0.0000 0.0000 0.0000
Ba 0.0000 0.0000 0.5000
Ba 0.5000 0.0000 0.0000
Tc 0.5000 0.5000 0.5000

Fermi-level density of states   3.69 states/eV per atom
DFT formation energy   1.8502 eV/atom
Total DFT energy (no corrections)   -2.604 eV per atom
Symmetry   No. 123